GGA-PBE FeNi2Hg, optimized geometry; energy of formation = 0.246 eV per atom; V = 13.8 Å³/atom; DFT total energy = -4.836 eV per atom
1.0
4.416 -1.406 0.000
4.416 1.406 0.000
-1.029 0.000 4.440
Fe Ni Hg
1 2 1
Direct
0.000 0.000 0.000
0.261 0.261 0.811
0.521 0.521 0.567
0.763 0.763 0.310


GGA-PBE FeNi2Hg, optimized geometry; energy of formation = 0.750 eV per atom; V = 14.4 Å³/atom; DFT total energy = -4.332 eV per atom
1.0
-3.333 3.333 2.599
3.333 -3.333 2.599
3.333 3.333 -2.599
Fe Ni Hg
2 4 2
Direct
0.000 0.000 0.000
0.750 0.250 0.500
0.082 0.625 0.957
0.375 0.332 0.457
0.668 0.125 0.043
0.875 0.918 0.543
0.250 0.750 0.500
0.500 0.500 0.000


GGA-PBE Fe2NiHg, optimized geometry; energy of formation = 0.303 eV per atom; V = 13.9 Å³/atom; DFT total energy = -5.449 eV per atom
1.0
0.000 3.028 3.028
3.028 0.000 3.028
3.028 3.028 0.000
Fe Ni Hg
2 1 1
Direct
0.000 0.000 0.000
0.250 0.250 0.250
0.750 0.750 0.750
0.500 0.500 0.500


GGA-PBE FeNi2Hg, optimized geometry; energy of formation = 0.199 eV per atom; V = 13.6 Å³/atom; DFT total energy = -4.883 eV per atom
1.0
-1.942 1.942 3.610
1.942 -1.942 3.610
1.942 1.942 -3.610
Fe Ni Hg
1 2 1
Direct
0.000 0.000 0.000
0.250 0.750 0.500
0.750 0.250 0.500
0.500 0.500 0.000


GGA-PBE FeNi2Hg, optimized geometry; energy of formation = 0.276 eV per atom; V = 13.8 Å³/atom; DFT total energy = -4.806 eV per atom
1.0
2.775 -3.527 0.000
2.775 3.527 0.000
0.000 0.000 2.819
Fe Ni Hg
1 2 1
Direct
0.000 0.000 0.000
0.000 0.500 0.500
0.500 0.000 0.500
0.500 0.500 0.000


GGA-PBE Fe2NiHg, optimized geometry; energy of formation = 0.286 eV per atom; V = 13.9 Å³/atom; DFT total energy = -5.466 eV per atom
1.0
3.709 0.000 0.000
0.000 3.709 0.000
0.000 0.000 4.039
Fe Ni Hg
2 1 1
Direct
0.000 0.500 0.000
0.500 0.000 0.000
0.000 0.000 0.500
0.500 0.500 0.500


GGA-PBE Fe2NiHg, optimized geometry; energy of formation = 0.359 eV per atom; V = 14.1 Å³/atom; DFT total energy = -5.393 eV per atom
1.0
2.635 -3.923 0.000
2.635 3.923 0.000
-0.047 0.000 2.726
Fe Ni Hg
2 1 1
Direct
0.000 0.500 0.000
0.500 0.000 0.000
0.000 0.000 0.500
0.500 0.500 0.500


GGA-PBE FeNi2Hg, optimized geometry; energy of formation = 0.221 eV per atom; V = 13.8 Å³/atom; DFT total energy = -4.861 eV per atom
1.0
3.024 0.000 0.000
0.000 3.024 0.000
0.000 0.000 6.037
Fe Ni Hg
1 2 1
Direct
0.000 0.000 0.000
0.000 0.000 0.593
0.500 0.500 0.810
0.500 0.500 0.313


GGA-PBE FeNi2Hg, optimized geometry; energy of formation = 0.251 eV per atom; V = 13.9 Å³/atom; DFT total energy = -4.831 eV per atom
1.0
4.182 -1.408 0.000
4.182 1.408 0.000
-0.974 0.000 4.737
Fe Ni Hg
1 2 1
Direct
0.000 0.000 0.000
0.260 0.260 0.794
0.740 0.740 0.206
0.500 0.500 0.500


GGA-PBE FeNi2Hg, optimized geometry; energy of formation = 0.232 eV per atom; V = 13.6 Å³/atom; DFT total energy = -4.849 eV per atom
1.0
-1.861 1.861 3.934
1.861 -1.861 3.934
1.861 1.861 -3.934
Fe Ni Hg
1 2 1
Direct
0.000 0.000 0.000
0.500 0.500 0.000
0.750 0.250 0.500
0.250 0.750 0.500


GGA-PBE FeNiHg, optimized geometry; energy of formation = 0.386 eV per atom; V = 15.4 Å³/atom; DFT total energy = -4.462 eV per atom
1.0
2.907 0.000 0.000
-1.454 2.518 0.000
0.000 0.000 6.325
Fe Ni Hg
1 1 1
Direct
0.000 0.000 0.000
0.333 0.667 0.729
0.667 0.333 0.372


GGA-PBE FeNiHg, optimized geometry; energy of formation = 0.351 eV per atom; V = 14.8 Å³/atom; DFT total energy = -4.498 eV per atom
1.0
4.260 0.000 0.000
-2.130 3.689 0.000
0.000 0.000 2.817
Fe Ni Hg
1 1 1
Direct
0.000 0.000 0.000
0.667 0.333 0.889
0.333 0.667 0.456


GGA-PBE Fe2NiHg, optimized geometry; energy of formation = 0.402 eV per atom; V = 14.4 Å³/atom; DFT total energy = -5.350 eV per atom
1.0
1.375 0.794 8.803
-1.375 0.794 8.803
0.000 -1.588 8.803
Fe Ni Hg
2 1 1
Direct
0.241 0.241 0.241
0.759 0.759 0.759
0.500 0.500 0.500
0.000 0.000 0.000


GGA-PBE Fe2NiHg, optimized geometry; energy of formation = 0.282 eV per atom; V = 14.1 Å³/atom; DFT total energy = -5.470 eV per atom
1.0
2.740 0.000 0.000
0.000 2.740 0.000
0.000 0.000 7.512
Fe Ni Hg
2 1 1
Direct
0.000 0.000 0.213
0.000 0.000 0.787
0.500 0.500 0.000
0.500 0.500 0.500


GGA-PBE FeNi2Hg, optimized geometry; energy of formation = 0.261 eV per atom; V = 13.7 Å³/atom; DFT total energy = -4.820 eV per atom
1.0
3.928 0.000 0.000
0.000 3.928 0.000
0.000 0.000 3.560
Fe Ni Hg
1 2 1
Direct
0.000 0.000 0.000
0.000 0.500 0.500
0.500 0.000 0.500
0.500 0.500 0.000


GGA-PBE FeNi2HgOs, optimized geometry; energy of formation = 2.178 eV per atom; V = 21.3 Å³/atom; DFT total energy = -4.134 eV per atom
1.0
4.602 0.000 0.000
0.000 4.602 0.000
0.000 0.000 5.019
Fe Ni Hg Os
1 2 1 1
Direct
0.000 0.000 0.000
0.000 0.500 0.500
0.500 0.000 0.500
0.500 0.500 0.500
0.500 0.500 0.000


GGA-PBE Sc2FeNiHg, optimized geometry; energy of formation = 0.131 eV per atom; V = 19.7 Å³/atom; DFT total energy = -5.311 eV per atom
1.0
4.777 0.000 0.000
0.000 4.777 0.000
0.000 0.000 4.314
Sc Fe Ni Hg
2 1 1 1
Direct
0.000 0.500 0.000
0.500 0.000 0.000
0.000 0.000 0.000
0.000 0.000 0.500
0.500 0.500 0.500


GGA-PBE ZrFeNi2Hg, optimized geometry; energy of formation = 0.688 eV per atom; V = 18.2 Å³/atom; DFT total energy = -5.087 eV per atom
1.0
4.351 0.000 0.000
0.000 4.351 0.000
0.000 0.000 4.812
Zr Fe Ni Hg
1 1 2 1
Direct
0.000 0.000 0.000
0.500 0.500 0.500
0.000 0.500 0.500
0.500 0.000 0.500
0.500 0.500 0.000


GGA-PBE NpFe4Hg, optimized geometry; energy of formation = 0.353 eV per atom; V = 14.9 Å³/atom; DFT total energy = -7.496 eV per atom
1.0
0.000 3.547 3.547
3.547 0.000 3.547
3.547 3.547 0.000
Np Fe Hg
1 4 1
Direct
0.000 0.000 0.000
0.374 0.374 0.374
0.374 0.374 0.878
0.374 0.878 0.374
0.878 0.374 0.374
0.750 0.750 0.750